Record 1
Entry from Alexandria via LeMat-Bulk: CaMgCd2 after structural relaxation (PBEsol).

Unit cell a=4.8405 b=4.8405 c=4.1049 alpha=90.00 beta=90.00 gamma=90.00
With the nearest neighbours (Å) after each atom.
Space group P4/mmm (No. 123)
Unique sites:
1 Ca 0.0000 0.0000 0.0000 (multiplicity 1)  8 Cd 3.17, 4 Mg 3.42
2 Mg 0.5000 0.5000 0.0000 (multiplicity 1)  8 Cd 3.17, 4 Ca 3.42
3 Cd 0.0000 0.5000 0.5000 (multiplicity 2)  4 Mg 3.17, 4 Ca 3.17, 4 Cd 3.42

Output
Theoretical density in g cm⁻³: 4.993
Final energy in eV/atom: -1.78
Volume in Å³/f.u.: 96.2

***

Record 2
Entry from Alexandria via LeMat-Bulk: Tl2InMo after structural relaxation (PBEsol).

Unit cell a=2.9346 b=4.8269 c=13.6120 alpha=90.00 beta=90.00 gamma=90.00
With the nearest neighbours (Å) after each atom.
Space group Imm2 (No. 44)
Unique sites:
1 Tl 0.0000 0.0000 0.0000 (multiplicity 2)  4 Mo 2.82, 2 Tl 2.93
2 Tl 0.0000 0.5000 0.1870 (multiplicity 2)  2 Tl 2.93, 2 Mo 2.96
3 In 0.0000 0.5000 0.8204 (multiplicity 2)  2 Mo 2.83, 2 In 2.93
4 Mo 0.0000 0.0000 0.4984 (multiplicity 2)  6 Tl 2.82-2.96, 2 In 2.83, 2 Mo 2.93

Output
E above lowest polymorph in meV/atom: 0
Theoretical density in g cm⁻³: 10.671
Volume in Å³/f.u.: 96.4

***

Record 3
Entry from Alexandria via LeMat-Bulk: SrCa2P after structural relaxation (PBEsol).

Unit cell a=4.1645 b=4.1645 c=30.7268 alpha=90.00 beta=90.00 gamma=120.00
With the nearest neighbours (Å) after each atom.
Space group R-3m (No. 166, hexagonal axes)
Unique sites:
1 Sr 0.0000 0.0000 0.0000 (multiplicity 3)  6 Sr 4.16, 6 Ca 4.39
2 Ca 0.0000 0.0000 0.2138 (multiplicity 6)  3 P 2.81
3 P 0.0000 0.0000 0.5000 (multiplicity 3)  6 Ca 2.81

Output
Theoretical density in g cm⁻³: 2.145
Final energy in eV/atom: -3.59
Volume in Å³/f.u.: 153.8

***

Record 4
Entry from Alexandria via LeMat-Bulk: Sc2CuGe2 after structural relaxation (PBEsol).

Unit cell a=6.4670 b=6.4670 c=4.0717 alpha=90.00 beta=90.00 gamma=90.00
With the nearest neighbours (Å) after each atom.
Space group P4/mbm (No. 127)
Unique sites:
1 Sc 0.1708 0.3292 0.0000 (multiplicity 4)  6 Ge 2.69-2.86
2 Cu 0.0000 0.0000 0.5000 (multiplicity 2)  4 Ge 2.51
3 Ge 0.1369 0.6369 0.5000 (multiplicity 4)  1 Ge 2.50, 2 Cu 2.51, 2 Sc 2.69

Output
Theoretical density in g cm⁻³: 5.826
Final energy in eV/atom: -6.19
Volume in Å³/f.u.: 85.1